No. 1
Crystalline AlSiAu at its relaxed geometry. Source: Alexandria, functional PBE.

Lattice parameters (Å, degrees): 6.0472 4.4356 8.8614 90.00 106.16 90.00
Closest atoms and distances in Å follow each position.
Space group Cm (No. 8)
One atom of each set of equivalent atoms:
Al 0.0000 0.0000 0.0000 [2 per cell]  3 Au 2.56-2.68, 4 Si 2.68-2.76
Al 0.0919 0.0000 0.6821 [2 per cell]  6 Au 2.61-2.82
Si 0.1981 0.5000 0.1711 [2 per cell]  3 Si 2.39-2.47, 1 Au 2.60
Si 0.3613 0.0000 0.2613 [2 per cell]  3 Si 2.39-2.47, 1 Au 2.39
Au 0.0446 0.5000 0.8665 [2 per cell]  6 Al 2.56-2.82, 1 Si 2.60, 1 Au 2.78
Au 0.4228 0.0000 0.5399 [2 per cell]  1 Si 2.39, 3 Al 2.61-2.64

Summary:
- Crystal system: monoclinic
- Calculated density: 7.3 Mg/m³
- M_tot: 0.0 μB/f.u.
- E_form (uncorrected): -0.07 eV/atom

No. 2
Crystalline SiAg2Pd2 at its relaxed geometry. Source: Alexandria, functional PBE.

Lattice parameters (Å, degrees): 6.5850 6.5850 3.9678 90.00 90.00 90.00
Closest atoms and distances in Å follow each position.
Space group P4/mbm (No. 127)
One atom of each set of equivalent atoms:
Si 0.0000 0.0000 0.0000 [2 per cell]  4 Ag 2.52
Ag 0.1464 0.3536 0.0000 [4 per cell]  2 Si 2.52, 6 Pd 2.70-2.82, 1 Ag 2.73
Pd 0.1572 0.6572 0.5000 [4 per cell]  6 Ag 2.70-2.82, 1 Pd 2.93

Summary:
- Crystal system: tetragonal
- Calculated density: 8.8 Mg/m³
- M_tot: 0.0 μB/f.u.
- E_form (uncorrected): 0.21 eV/atom